K2Mg3Pb4 | PBE | optimized geometry

Cell and atoms, written as POSCAR:
```
K2Mg3Pb4
1.0
3.451 -9.317 0.000
3.451 9.317 0.000
0.000 0.000 8.971
K Mg Pb
4 6 8
direct
0.103 0.897 0.896
0.397 0.603 0.396
0.603 0.397 0.604
0.897 0.103 0.104
0.000 0.000 0.500
0.019 0.481 0.750
0.481 0.019 0.250
0.500 0.500 0.000
0.519 0.981 0.750
0.981 0.519 0.250
0.176 0.824 0.503
0.183 0.317 0.750
0.317 0.183 0.250
0.324 0.676 0.003
0.676 0.324 0.997
0.683 0.817 0.750
0.817 0.683 0.250
0.824 0.176 0.497
```

Values from the calculation:
Calculated formation energy (eV per atom): -0.09
Final energy (eV per atom): -2.511